{"formula": "Pr9HoEr2", "functional": "PBE", "state": "relaxed", "cell": [[-2.933, 3.591, 2.302], [-2.367, -3.695, 2.747], [10.651, 1.512, 11.211]], "species": ["Pr", "Pr", "Pr", "Pr", "Pr", "Pr", "Pr", "Pr", "Pr", "Ho", "Er", "Er"], "fractional_positions": [[0.500, 0.500, 0.000], [0.500, 0.500, 0.334], [0.500, 0.500, 0.666], [0.500, 0.000, 0.167], [0.500, 0.000, 0.500], [0.500, 0.000, 0.833], [0.000, 0.500, 0.167], [0.000, 0.500, 0.500], [0.000, 0.500, 0.833], [0.000, 0.000, 0.000], [0.000, 0.000, 0.334], [0.000, 0.000, 0.666]], "sg": "P4/mmm, No. 123", "formation_enthalpy_0k_mev_per_atom": 13.9}

{"formula": "Pr7HoEr3", "functional": "PBE", "state": "relaxed", "cell": [[3.591, -9.333, 0.000], [3.591, 9.333, 0.000], [0.000, 0.000, 11.475]], "species": ["Pr", "Pr", "Pr", "Pr", "Pr", "Pr", "Pr", "Pr", "Pr", "Pr", "Pr", "Pr", "Pr", "Pr", "Ho", "Ho", "Er", "Er", "Er", "Er", "Er", "Er"], "fractional_positions": [[0.664, 0.839, 0.250], [0.161, 0.336, 0.750], [0.412, 0.088, 0.469], [0.412, 0.088, 0.031], [0.912, 0.588, 0.969], [0.912, 0.588, 0.531], [0.750, 0.750, 0.750], [0.250, 0.250, 0.250], [0.088, 0.412, 0.031], [0.088, 0.412, 0.469], [0.588, 0.912, 0.969], [0.588, 0.912, 0.531], [0.839, 0.664, 0.250], [0.336, 0.161, 0.750], [0.500, 0.500, 0.000], [0.500, 0.500, 0.500], [0.750, 0.250, 0.750], [0.000, 0.000, 0.000], [0.000, 0.000, 0.500], [0.750, 0.250, 0.250], [0.250, 0.750, 0.750], [0.250, 0.750, 0.250]], "de_polymorph_mev_per_atom": 0, "sg": "Cmcm, No. 63", "formation_enthalpy_0k_mev_per_atom": 132.7}

{"formula": "Pr4Ho2Er3", "functional": "PBE", "state": "relaxed", "cell": [[-1.461, 3.256, -6.126], [-9.172, 1.787, 3.130], [-2.041, 8.307, 4.895]], "species": ["Pr", "Pr", "Pr", "Pr", "Pr", "Pr", "Pr", "Pr", "Ho", "Ho", "Ho", "Ho", "Er", "Er", "Er", "Er", "Er", "Er"], "fractional_positions": [[0.500, 0.850, 0.180], [0.000, 0.820, 0.150], [0.500, 0.150, 0.820], [0.000, 0.180, 0.850], [0.000, 0.152, 0.527], [0.500, 0.473, 0.848], [0.000, 0.848, 0.473], [0.500, 0.527, 0.152], [0.500, 0.179, 0.473], [0.000, 0.527, 0.821], [0.500, 0.821, 0.527], [0.000, 0.473, 0.179], [0.750, 0.171, 0.171], [0.750, 0.829, 0.829], [0.250, 0.829, 0.829], [0.250, 0.171, 0.171], [0.250, 0.500, 0.500], [0.750, 0.500, 0.500]], "de_polymorph_mev_per_atom": 5, "sg": "Cccm, No. 66", "formation_enthalpy_0k_mev_per_atom": 50.7}

{"formula": "Pr2Ho7Er3", "functional": "PBE", "state": "relaxed", "cell": [[3.602, 0.000, 0.000], [0.000, 5.668, 0.000], [0.000, -2.834, 18.849]], "species": ["Pr", "Pr", "Ho", "Ho", "Ho", "Ho", "Ho", "Ho", "Ho", "Er", "Er", "Er"], "fractional_positions": [[0.000, 0.853, 0.706], [0.000, 0.147, 0.294], [0.000, 0.411, 0.823], [0.000, 0.769, 0.539], [0.000, 0.000, 0.000], [0.000, 0.589, 0.177], [0.500, 0.070, 0.141], [0.500, 0.930, 0.859], [0.000, 0.231, 0.461], [0.500, 0.500, 0.000], [0.500, 0.686, 0.373], [0.500, 0.314, 0.627]], "de_polymorph_mev_per_atom": 37, "sg": "Cmmm, No. 65", "formation_enthalpy_0k_mev_per_atom": 117.5}

{"formula": "PrHo2Er4", "functional": "PBE", "state": "relaxed", "cell": [[6.063, 0.000, -0.387], [0.000, 6.535, 0.000], [-2.566, 0.000, 11.301]], "species": ["Pr", "Pr", "Ho", "Ho", "Ho", "Ho", "Er", "Er", "Er", "Er", "Er", "Er", "Er", "Er"], "fractional_positions": [[0.180, 0.750, 0.135], [0.820, 0.250, 0.865], [0.613, 0.750, 0.009], [0.387, 0.250, 0.991], [0.296, 0.250, 0.451], [0.704, 0.750, 0.549], [0.636, 0.492, 0.289], [0.981, 0.750, 0.834], [0.019, 0.250, 0.166], [0.636, 0.008, 0.289], [0.862, 0.250, 0.577], [0.364, 0.992, 0.711], [0.364, 0.508, 0.711], [0.138, 0.750, 0.423]], "de_polymorph_mev_per_atom": 92, "sg": "P2_1/m, No. 11", "formation_enthalpy_0k_mev_per_atom": 126.7}

{"formula": "PrHo4Er7", "functional": "PBE", "state": "relaxed", "cell": [[6.322, -1.855, 2.699], [0.728, 5.704, 2.209], [2.781, -2.281, 10.701]], "species": ["Pr", "Ho", "Ho", "Ho", "Ho", "Er", "Er", "Er", "Er", "Er", "Er", "Er"], "fractional_positions": [[0.000, 0.000, 0.000], [0.413, 0.721, 0.336], [0.587, 0.279, 0.664], [0.834, 0.779, 0.666], [0.166, 0.221, 0.334], [0.749, 0.500, 0.000], [0.251, 0.500, 0.000], [0.084, 0.279, 0.664], [0.916, 0.721, 0.336], [0.335, 0.777, 0.665], [0.500, 0.000, 0.000], [0.665, 0.223, 0.335]], "de_polymorph_mev_per_atom": 0, "sg": "P-1, No. 2", "formation_enthalpy_0k_mev_per_atom": -0.1}

{"formula": "Pr3HoEr5", "functional": "PBE", "state": "relaxed", "cell": [[-8.349, -2.505, 3.878], [-5.552, -3.407, -6.970], [-5.273, -10.423, -0.493]], "species": ["Pr", "Pr", "Pr", "Pr", "Pr", "Pr", "Ho", "Ho", "Er", "Er", "Er", "Er", "Er", "Er", "Er", "Er", "Er", "Er"], "fractional_positions": [[0.703, 0.703, 0.807], [0.661, 0.661, 0.366], [0.000, 0.000, 0.000], [0.000, 0.000, 0.500], [0.297, 0.297, 0.193], [0.339, 0.339, 0.634], [0.148, 0.148, 0.605], [0.852, 0.852, 0.395], [0.843, 0.344, 0.244], [0.259, 0.741, 0.000], [0.811, 0.811, 0.968], [0.490, 0.490, 0.224], [0.510, 0.510, 0.776], [0.189, 0.189, 0.032], [0.344, 0.843, 0.244], [0.741, 0.259, 0.000], [0.157, 0.656, 0.756], [0.656, 0.157, 0.756]], "sg": "C2/m, No. 12", "formation_enthalpy_0k_mev_per_atom": 532.4}

{"formula": "PrHo4Er6", "functional": "PBE", "state": "relaxed", "cell": [[5.625, 0.000, 0.000], [-2.813, 4.824, 0.000], [0.000, 0.000, 25.537]], "species": ["Pr", "Pr", "Ho", "Ho", "Ho", "Ho", "Ho", "Ho", "Ho", "Ho", "Er", "Er", "Er", "Er", "Er", "Er", "Er", "Er", "Er", "Er", "Er", "Er"], "fractional_positions": [[0.826, 0.653, 0.250], [0.174, 0.347, 0.750], [0.836, 0.673, 0.541], [0.490, 0.979, 0.121], [0.164, 0.327, 0.459], [0.510, 0.021, 0.879], [0.836, 0.673, 0.959], [0.164, 0.327, 0.041], [0.510, 0.021, 0.621], [0.490, 0.979, 0.379], [0.500, 0.000, 0.000], [0.500, 0.000, 0.500], [0.158, 0.316, 0.320], [0.842, 0.684, 0.680], [0.842, 0.684, 0.820], [0.158, 0.316, 0.180], [0.825, 0.650, 0.399], [0.175, 0.350, 0.601], [0.175, 0.350, 0.899], [0.825, 0.650, 0.101], [0.493, 0.986, 0.250], [0.507, 0.014, 0.750]], "de_polymorph_mev_per_atom": 0, "sg": "Cmcm, No. 63", "formation_enthalpy_0k_mev_per_atom": 121.9}

{"formula": "Pr3Ho3Er5", "functional": "PBE", "state": "relaxed", "cell": [[-1.081, 4.539, -2.742], [-6.008, -4.896, -5.736], [-3.310, 4.091, 8.079]], "species": ["Pr", "Pr", "Pr", "Ho", "Ho", "Ho", "Er", "Er", "Er", "Er", "Er"], "fractional_positions": [[0.500, 0.634, 0.634], [0.500, 0.000, 0.366], [0.500, 0.366, 0.000], [0.000, 0.456, 0.456], [0.000, 0.544, 0.000], [0.000, 0.000, 0.544], [0.500, 0.333, 0.667], [0.500, 0.667, 0.333], [0.500, 0.266, 0.266], [0.500, 0.000, 0.734], [0.500, 0.734, 0.000]], "sg": "P-62m, No. 189", "formation_enthalpy_0k_mev_per_atom": 814.4}

{"formula": "Pr4HoEr2", "functional": "PBE", "state": "relaxed", "cell": [[6.920, 0.000, 0.000], [3.460, 8.291, -1.146], [3.460, 1.616, 8.213]], "species": ["Pr", "Pr", "Pr", "Pr", "Pr", "Pr", "Pr", "Pr", "Ho", "Ho", "Er", "Er", "Er", "Er"], "fractional_positions": [[0.151, 0.353, 0.346], [0.151, 0.846, 0.853], [0.230, 0.241, 0.741], [0.788, 0.241, 0.741], [0.212, 0.759, 0.259], [0.849, 0.154, 0.147], [0.770, 0.759, 0.259], [0.849, 0.647, 0.654], [0.000, 0.500, 0.000], [0.500, 0.500, 0.000], [0.283, 0.967, 0.467], [0.500, 0.000, 0.000], [0.500, 0.500, 0.500], [0.717, 0.033, 0.533]], "de_polymorph_mev_per_atom": 187, "sg": "Imma, No. 74", "formation_enthalpy_0k_mev_per_atom": 250.0}

{"formula": "PrHo5Er12", "functional": "PBE", "state": "relaxed", "cell": [[14.931, 0.000, 0.005], [7.466, 7.480, 0.003], [-0.001, 0.000, 4.977]], "species": ["Pr", "Ho", "Ho", "Ho", "Ho", "Ho", "Er", "Er", "Er", "Er", "Er", "Er", "Er", "Er", "Er", "Er", "Er", "Er"], "fractional_positions": [[0.000, 0.000, 0.000], [0.500, 0.000, 0.500], [0.168, 0.663, 0.500], [0.832, 0.337, 0.500], [0.666, 0.667, 0.000], [0.334, 0.333, 0.000], [0.831, 0.000, 0.500], [0.169, 0.000, 0.500], [0.666, 0.000, 0.000], [0.334, 0.000, 0.000], [0.335, 0.665, 0.000], [0.000, 0.665, 0.000], [0.000, 0.335, 0.000], [0.665, 0.335, 0.000], [0.500, 0.333, 0.500], [0.833, 0.667, 0.500], [0.167, 0.333, 0.500], [0.500, 0.667, 0.500]], "sg": "Cmmm, No. 65", "formation_enthalpy_0k_mev_per_atom": 24.1}

{"formula": "Pr7HoEr12", "functional": "PBE", "state": "relaxed", "cell": [[9.215, 0.000, -3.258], [-4.607, 7.980, -3.258], [0.000, 0.000, 9.774]], "species": ["Pr", "Pr", "Pr", "Pr", "Pr", "Pr", "Pr", "Ho", "Er", "Er", "Er", "Er", "Er", "Er", "Er", "Er", "Er", "Er", "Er", "Er"], "fractional_positions": [[0.500, 0.500, 0.000], [0.000, 0.500, 0.500], [0.500, 0.000, 0.500], [0.500, 0.500, 0.500], [0.000, 0.000, 0.500], [0.500, 0.000, 0.000], [0.000, 0.500, 0.000], [0.000, 0.000, 0.000], [0.509, 0.755, 0.755], [0.000, 0.755, 0.245], [0.491, 0.245, 0.245], [0.000, 0.245, 0.755], [0.755, 0.000, 0.245], [0.755, 0.509, 0.755], [0.245, 0.000, 0.755], [0.245, 0.491, 0.245], [0.755, 0.755, 0.509], [0.245, 0.245, 0.491], [0.755, 0.245, 0.000], [0.245, 0.755, 0.000]], "de_polymorph_mev_per_atom": 421, "sg": "Im-3m, No. 229", "formation_enthalpy_0k_mev_per_atom": 648.2}

Copy entry 12 word for word.
{"formula": "Pr7HoEr12", "functional": "PBE", "state": "relaxed", "cell": [[9.215, 0.000, -3.258], [-4.607, 7.980, -3.258], [0.000, 0.000, 9.774]], "species": ["Pr", "Pr", "Pr", "Pr", "Pr", "Pr", "Pr", "Ho", "Er", "Er", "Er", "Er", "Er", "Er", "Er", "Er", "Er", "Er", "Er", "Er"], "fractional_positions": [[0.500, 0.500, 0.000], [0.000, 0.500, 0.500], [0.500, 0.000, 0.500], [0.500, 0.500, 0.500], [0.000, 0.000, 0.500], [0.500, 0.000, 0.000], [0.000, 0.500, 0.000], [0.000, 0.000, 0.000], [0.509, 0.755, 0.755], [0.000, 0.755, 0.245], [0.491, 0.245, 0.245], [0.000, 0.245, 0.755], [0.755, 0.000, 0.245], [0.755, 0.509, 0.755], [0.245, 0.000, 0.755], [0.245, 0.491, 0.245], [0.755, 0.755, 0.509], [0.245, 0.245, 0.491], [0.755, 0.245, 0.000], [0.245, 0.755, 0.000]], "de_polymorph_mev_per_atom": 421, "sg": "Im-3m, No. 229", "formation_enthalpy_0k_mev_per_atom": 648.2}